1.
VASP calculation (SCAN) on a PBEsol-optimized structure of EuSiNi2Ge.

Geometry as POSCAR:
```
EuSiNi2Ge
1.0
4.016 0.000 0.000
0.000 4.016 0.000
-2.008 -2.008 4.884
Si Eu Ge Ni
1 1 1 2
direct
0.635 0.635 0.270
0.001 0.001 0.002
0.372 0.372 0.744
0.746 0.246 0.492
0.246 0.746 0.492
```

DOS at the Fermi energy = 7.174 states/eV/f.u.
total moment = 1.4435 μB/atom
E_form (uncorrected) = -0.65 eV/atom



2.
VASP calculation (SCAN) on a PBEsol-optimized structure of EuGePd.

Geometry as POSCAR:
```
EuGePd
1.0
5.828 0.000 0.000
0.000 6.002 0.015
0.000 2.500 7.147
Pd Eu Ge
4 4 4
direct
0.398 0.585 0.811
0.102 0.085 0.311
0.602 0.415 0.189
0.898 0.915 0.689
0.865 0.327 0.878
0.635 0.827 0.378
0.135 0.673 0.122
0.365 0.173 0.622
0.139 0.677 0.542
0.361 0.177 0.042
0.861 0.323 0.458
0.639 0.823 0.958
```

DOS at the Fermi energy = 5.826 states/eV/f.u.
total moment = 2.3415 μB/atom
energy of formation from the pure elements = -0.878 eV per atom



3.
VASP calculation (SCAN) on a PBEsol-optimized structure of EuGe3Pd.

Geometry as POSCAR:
```
EuGe3Pd
1.0
4.420 0.000 0.000
0.000 4.420 0.000
-2.210 -2.210 4.995
Eu Pd Ge
1 1 3
direct
0.994 0.994 0.989
0.643 0.643 0.287
0.754 0.254 0.507
0.254 0.754 0.507
0.401 0.401 0.802
```

DOS at the Fermi energy = 5.261 states/eV/f.u.
total moment = 1.3777 μB/atom
energy of formation from the pure elements = -0.679 eV per atom



4.
VASP calculation (SCAN) on a PBEsol-optimized structure of EuGe2Pt2.

Geometry as POSCAR:
```
EuGe2Pt2
1.0
4.330 0.000 0.000
0.000 4.331 0.010
0.000 -0.030 9.991
Pt Eu Ge
4 2 4
direct
0.750 0.250 0.375
0.250 0.750 0.625
0.750 0.748 0.000
0.250 0.252 0.000
0.250 0.749 0.254
0.750 0.251 0.746
0.250 0.752 0.870
0.250 0.250 0.500
0.750 0.750 0.500
0.750 0.248 0.130
```

DOS at the Fermi energy = 8.525 states/eV/f.u.
total moment = 1.3952 μB/atom
energy of formation from the pure elements = -1.022 eV per atom



5.
VASP calculation (SCAN) on a PBEsol-optimized structure of EuGePt.

Geometry as POSCAR:
```
EuGePt
1.0
6.470 0.000 0.000
0.000 6.470 0.000
0.000 0.000 6.470
Ge Pt Eu
4 4 4
direct
0.176 0.324 0.676
0.824 0.824 0.824
0.676 0.176 0.324
0.324 0.676 0.176
0.426 0.426 0.426
0.574 0.926 0.074
0.926 0.074 0.574
0.074 0.574 0.926
0.622 0.378 0.878
0.878 0.622 0.378
0.378 0.878 0.622
0.122 0.122 0.122
```

DOS at the Fermi energy = 8.633 states/eV/f.u.
total moment = 2.3268 μB/atom
energy of formation from the pure elements = -1.121 eV per atom



6.
VASP calculation (SCAN) on a PBEsol-optimized structure of EuGe7Rh3.

Geometry as POSCAR:
```
EuGe7Rh3
1.0
-6.035 4.947 -0.823
-4.638 -0.484 -6.311
-7.626 -2.921 0.951
Rh Ge Eu
6 14 2
direct
0.433 0.750 0.750
0.250 0.933 0.250
0.933 0.567 0.250
0.750 0.067 0.750
0.567 0.250 0.250
0.067 0.433 0.750
0.750 0.750 0.750
0.167 0.575 0.907
0.575 0.351 0.907
0.833 0.425 0.093
0.250 0.250 0.250
0.333 0.149 0.593
0.351 0.167 0.907
0.667 0.851 0.407
0.149 0.925 0.593
0.649 0.833 0.093
0.075 0.667 0.407
0.851 0.075 0.407
0.425 0.649 0.093
0.925 0.333 0.593
0.500 0.500 0.500
0.000 0.000 0.000
```

DOS at the Fermi energy = 10.521 states/eV/f.u.
total moment = 0.6094 μB/atom
energy of formation from the pure elements = -0.588 eV per atom



Question: Look up the total moment of the second one.
Answer: 2.3415 μB/atom